Compound: MgTaSi2
Source: Alexandria via LeMat-Bulk
Functional: PBE-GGA
Structure: optimized geometry

```
MgTaSi2
1.0
2.905 0.004 0.000
-0.620 2.838 0.000
0.000 0.000 8.052
Mg Si Ta
1 2 1
Cartesian
1.142 1.421 6.039 Mg
0.000 0.000 0.100 Si
0.000 0.000 3.926 Si
1.142 1.421 2.013 Ta
```

The density of states at the Fermi level is 0.5083 states/eV per atom. Its volume is 66.4 Å³/f.u. The value obtained for the uncorrected formation energy is -0.138 eV per formula unit. Its space group is Cmmm (65).